First-principles (PBE-GGA) data for LuScPb2 after structural relaxation, as listed in the Alexandria database.

```
data_LuScPb2
_chemical_formula_sum 'Lu1 Sc1 Pb2'
_symmetry_space_group_name_H-M 'P 4/m m m'
_symmetry_Int_Tables_number 123
_symmetry_space_group_name_Hall '-P 4 2'
_cell_length_a 4.9309
_cell_length_b 4.9309
_cell_length_c 4.2843
_cell_angle_alpha 90.00
_cell_angle_beta 90.00
_cell_angle_gamma 90.00
loop_
_atom_site_label
_atom_site_fract_x
_atom_site_fract_y
_atom_site_fract_z
Lu1 0.0000 0.0000 0.0000
Sc1 0.5000 0.5000 0.0000
Pb1 0.0000 0.5000 0.5000
```

Properties
Density of states at the Fermi level: 4.83 states/eV/cell
Energy relative to the elements: -304 meV/atom